DFT (PBE) results for a relaxed CuIr2Os crystal.

Properties
raw total energy = -8.12 eV per atom
DOS(E_F) = 3.40 states/eV/cell
volume = 56 Å³ per cell
crystal system = monoclinic
excess energy over the best structure of this formula in the dataset = 0.39 eV per formula unit
space group = No. 12

Unit cell a=4.6782 b=4.6782 c=4.6771 alpha=80.97 beta=80.97 gamma=33.61
Closest atoms and distances in Å follow each position.
Fractional coordinates of all 4 atoms:
Ir1 0.4978 0.4978 0.4993  3 Cu 2.67-2.73, 6 Ir 2.69-2.71, 3 Os 2.70-2.71
Ir2 0.0022 0.0022 0.0007  3 Cu 2.67-2.73, 6 Ir 2.69-2.71, 3 Os 2.70-2.71
Cu1 0.2500 0.2500 0.2500  6 Ir 2.67-2.73, 4 Os 2.70, 2 Cu 2.71
Os1 0.7500 0.7500 0.7500  6 Ir 2.70-2.71, 4 Cu 2.70, 2 Os 2.71



DFT (PBE) results for a relaxed CsRbGeF6 crystal.

Properties
raw total energy = -4.69 eV per atom
DOS(E_F) = 0.00 states/eV/cell
formation energy without anion corrections = -2.73 eV per atom
volume = 201 Å³ per cell
crystal system = trigonal
space group = No. 149

Unit cell a=5.5056 b=6.4954 c=6.4954 alpha=120.00 beta=90.00 gamma=90.00
Closest atoms and distances in Å follow each position.
Fractional coordinates of all 9 atoms:
F1 0.6911 0.7665 0.7683  1 Ge 1.84
F2 0.6911 0.2317 0.9982  1 Ge 1.84
F3 0.3089 0.7665 0.9982  1 Ge 1.84
F4 0.3089 0.2317 0.2335  1 Ge 1.84
F5 0.3089 0.0018 0.7683  1 Ge 1.84
F6 0.6911 0.0018 0.2335  1 Ge 1.84
Rb1 0.5000 0.6667 0.3333  6 F 2.77
Cs1 0.0000 0.3333 0.6667  6 F 3.06
Ge1 0.5000 0.0000 0.0000  6 F 1.84



Size of the total moment in μB/f.u., matching the order above: 0.00, 0.13